--- a ---
## Rb2CaAgCl6 (PBE-GGA)

Data for a geometry-optimized Rb2CaAgCl6 structure.

abc: 7.4949 7.4949 7.4949
angles: 119.03 119.03 91.69
Fractional positions:
Rb 0.2500 0.7500 0.5000
Rb 0.7500 0.2500 0.5000
Ca 0.0000 0.0000 0.0000
Ag 0.5000 0.5000 0.0000
Cl 0.2504 0.2504 0.5009
Cl 0.2504 0.7496 0.0000
Cl 0.2614 0.2614 0.0000
Cl 0.7386 0.7386 0.0000
Cl 0.7496 0.2504 0.0000
Cl 0.7496 0.7496 0.4991

---

--- b ---
## Rb2CaAgCl6 (PBE-GGA)

Data for a geometry-optimized Rb2CaAgCl6 structure.

abc: 5.3107 5.3107 10.5887
angles: 90.00 90.00 90.00
Fractional positions:
Rb 0.0000 0.0000 0.2365
Rb 0.0000 0.0000 0.7635
Ca 0.5000 0.5000 0.5000
Ag 0.5000 0.5000 0.0000
Cl 0.0000 0.5000 0.0000
Cl 0.0000 0.5000 0.5000
Cl 0.5000 0.0000 0.0000
Cl 0.5000 0.0000 0.5000
Cl 0.5000 0.5000 0.2410
Cl 0.5000 0.5000 0.7590

---

Computed stability ranking, most favorable first: b, a

---

--- a ---
## CaCoAg2 (PBE-GGA)

Data for a geometry-optimized CaCoAg2 structure.

abc: 3.4057 3.4057 6.6734
angles: 90.00 90.00 90.00
Fractional positions:
Ca 0.0000 0.0000 0.0000
Co 0.0000 0.0000 0.5000
Ag 0.5000 0.5000 0.2949
Ag 0.5000 0.5000 0.7051

---

--- b ---
## CaCoAg2 (PBE-GGA)

Data for a geometry-optimized CaCoAg2 structure.

abc: 4.7725 4.7725 4.7725
angles: 60.00 60.00 60.00
Fractional positions:
Ca 0.0000 0.0000 0.0000
Co 0.2500 0.2500 0.2500
Ag 0.5000 0.5000 0.5000
Ag 0.7500 0.7500 0.7500

---

--- c ---
## CaCoAg2 (PBE-GGA)

Data for a geometry-optimized CaCoAg2 structure.

abc: 9.3711 9.3711 9.3711
angles: 19.18 19.18 19.18
Fractional positions:
Ca 0.0000 0.0000 0.0000
Co 0.5000 0.5000 0.5000
Ag 0.2405 0.2405 0.2405
Ag 0.7595 0.7595 0.7595

---

--- d ---
## CaCoAg2 (PBE-GGA)

Data for a geometry-optimized CaCoAg2 structure.

abc: 4.1754 4.1754 4.2391
angles: 90.00 90.00 90.00
Fractional positions:
Ca 0.0000 0.0000 0.0000
Co 0.5000 0.5000 0.0000
Ag 0.0000 0.5000 0.5000
Ag 0.5000 0.0000 0.5000

---

Computed stability ranking, most favorable first: d, a, b, c

---

--- a ---
## CaCoAg2 (PBE-GGA)

Data for a geometry-optimized CaCoAg2 structure.

abc: 5.4467 5.4467 5.4467
angles: 141.54 129.73 65.03
Fractional positions:
Ca 0.0000 0.0000 0.0000
Co 0.5000 0.5000 0.0000
Ag 0.2781 0.7781 0.5000
Ag 0.7219 0.2219 0.5000

---

--- b ---
## CaCoAg2 (PBE-GGA)

Data for a geometry-optimized CaCoAg2 structure.

abc: 5.6157 5.6157 2.9660
angles: 101.73 101.73 119.44
Fractional positions:
Ca 0.0000 0.0000 0.0000
Co 0.5000 0.5000 0.0000
Ag 0.0000 0.5000 0.5000
Ag 0.5000 0.0000 0.5000

---

--- c ---
## CaCoAg2 (PBE-GGA)

Data for a geometry-optimized CaCoAg2 structure.

abc: 4.7793 4.7793 4.7793
angles: 60.00 60.00 60.00
Fractional positions:
Ca 0.0000 0.0000 0.0000
Co 0.5000 0.5000 0.5000
Ag 0.2500 0.2500 0.2500
Ag 0.7500 0.7500 0.7500

---

--- d ---
## CaCoAg2 (PBE-GGA)

Data for a geometry-optimized CaCoAg2 structure.

abc: 3.3890 3.4905 6.5979
angles: 90.00 90.13 90.00
Fractional positions:
Ca 0.0000 0.0000 0.0000
Co 0.5005 0.5000 0.7177
Ag 0.0004 0.0000 0.5365
Ag 0.5001 0.5000 0.2995

---

Computed stability ranking, most favorable first: a, d, c, b

---

--- a ---
## CaCoAg2 (PBE-GGA)

Data for a geometry-optimized CaCoAg2 structure.

abc: 3.0657 4.5661 5.6337
angles: 90.00 104.83 90.00
Fractional positions:
Ca 0.0000 0.0000 0.0000
Co 0.5000 0.0000 0.5000
Ag 0.3342 0.5000 0.7221
Ag 0.6658 0.5000 0.2779

---

--- b ---
## CaCoAg2 (PBE-GGA)

Data for a geometry-optimized CaCoAg2 structure.

abc: 9.2333 9.2333 9.2333
angles: 19.64 19.64 19.64
Fractional positions:
Ca 0.0000 0.0000 0.0000
Co 0.2517 0.2517 0.2517
Ag 0.5117 0.5117 0.5117
Ag 0.7612 0.7612 0.7612

---

--- c ---
## CaCoAg2 (PBE-GGA)

Data for a geometry-optimized CaCoAg2 structure.

abc: 5.1798 5.1798 5.1798
angles: 132.25 132.25 69.83
Fractional positions:
Ca 0.0000 0.0000 0.0000
Co 0.2500 0.7500 0.5000
Ag 0.5000 0.5000 0.0000
Ag 0.7500 0.2500 0.5000

---

Computed stability ranking, most favorable first: c, a, b

---

--- a ---
## Ca2Co2Ag (PBE-GGA)

Data for a geometry-optimized Ca2Co2Ag structure.

abc: 8.3559 8.3559 3.0721
angles: 90.00 90.00 90.00
Fractional positions:
Ca 0.1883 0.3117 0.0000
Ca 0.3117 0.8117 0.0000
Ca 0.6883 0.1883 0.0000
Ca 0.8117 0.6883 0.0000
Co 0.0919 0.5919 0.5000
Co 0.4081 0.0919 0.5000
Co 0.5919 0.9081 0.5000
Co 0.9081 0.4081 0.5000
Ag 0.0000 0.0000 0.0000
Ag 0.5000 0.5000 0.0000

---

--- b ---
## Ca2Co2Ag (PBE-GGA)

Data for a geometry-optimized Ca2Co2Ag structure.

abc: 9.2949 9.2949 9.2949
angles: 158.83 158.83 30.12
Fractional positions:
Ca 0.1155 0.1155 0.0000
Ca 0.8845 0.8845 0.0000
Co 0.2500 0.7500 0.5000
Co 0.7500 0.2500 0.5000
Ag 0.5000 0.5000 0.0000

---

Computed stability ranking, most favorable first: b, a

---

--- a ---
## CaCoAg3 (PBE-GGA)

Data for a geometry-optimized CaCoAg3 structure.

abc: 5.2641 5.2641 5.2641
angles: 90.00 90.00 90.00
Fractional positions:
Ca 0.0000 0.0000 0.0000
Co 0.5000 0.5000 0.5000
Ag 0.0000 0.0000 0.5000
Ag 0.0000 0.5000 0.0000
Ag 0.5000 0.0000 0.0000

---

--- b ---
## CaCoAg3 (PBE-GGA)

Data for a geometry-optimized CaCoAg3 structure.

abc: 4.8739 4.8739 4.8739
angles: 90.00 90.00 90.00
Fractional positions:
Ca 0.0000 0.0000 0.0000
Co 0.5000 0.5000 0.5000
Ag 0.0000 0.5000 0.5000
Ag 0.5000 0.0000 0.5000
Ag 0.5000 0.5000 0.0000

---

Computed stability ranking, most favorable first: b, a